Compound: Tm4TlSe6
Source: Alexandria via LeMat-Bulk
Functional: PBE
Structure: relaxed

```
Tm4TlSe6
1.0
4.076 0.000 0.000
-2.038 6.747 0.000
0.000 0.000 21.486
Tm Tl Se
8 2 12
Direct
0.594 0.188 0.868
0.406 0.812 0.132
0.133 0.267 0.460
0.867 0.733 0.960
0.133 0.267 0.040
0.406 0.812 0.368
0.594 0.188 0.632
0.867 0.733 0.540
0.337 0.673 0.750
0.663 0.327 0.250
0.040 0.081 0.347
0.040 0.081 0.153
0.340 0.681 0.250
0.772 0.543 0.419
0.228 0.457 0.919
0.500 0.000 0.500
0.772 0.543 0.081
0.500 0.000 0.000
0.228 0.457 0.581
0.960 0.919 0.847
0.960 0.919 0.653
0.660 0.319 0.750
```

Calculated values
**Mass density**: 7.6 Mg/m³
**E_form (uncorrected)**: -17.7 eV per formula unit

---

Compound: Pr2In3Cu
Source: Alexandria via LeMat-Bulk
Functional: PBE
Structure: relaxed

```
Pr2In3Cu
1.0
-0.968 3.751 -2.887
-2.654 -0.742 3.968
4.916 4.440 4.119
In Cu Pr
3 1 2
Direct
0.000 0.000 0.047
0.000 0.000 0.483
0.333 0.667 0.940
0.333 0.667 0.541
0.667 0.333 0.726
0.667 0.333 0.263
```

Calculated values
**Energy above the lowest structure with this stoichiometry**: 0 meV/atom
**Mass density**: 7.3 Mg/m³
**Calculated formation energy**: -428 meV per atom

---

Compound: Pm3Mg5H12
Source: Alexandria via LeMat-Bulk
Functional: PBE
Structure: relaxed

```
Pm3Mg5H12
1.0
-6.428 -8.094 -3.020
9.836 -1.499 -4.120
0.614 0.278 10.748
H Pm Mg
48 12 20
Direct
0.714 0.584 0.173
0.459 0.786 0.870
0.911 0.827 0.541
0.589 0.630 0.416
0.327 0.786 0.416
0.130 0.714 0.541
0.173 0.084 0.714
0.786 0.327 0.916
0.541 0.214 0.130
0.541 0.327 0.911
0.411 0.370 0.584
0.827 0.911 0.041
0.459 0.673 0.089
0.370 0.411 0.084
0.089 0.173 0.459
0.589 0.959 0.673
0.911 0.084 0.870
0.673 0.459 0.589
0.714 0.130 0.041
0.214 0.673 0.084
0.084 0.173 0.214
0.370 0.959 0.786
0.870 0.584 0.911
0.870 0.286 0.459
0.130 0.416 0.089
0.286 0.870 0.959
0.786 0.459 0.370
0.089 0.916 0.130
0.959 0.589 0.173
0.327 0.541 0.411
0.286 0.416 0.827
0.416 0.130 0.589
0.827 0.916 0.286
0.959 0.370 0.286
0.411 0.041 0.327
0.041 0.411 0.827
0.916 0.827 0.786
0.416 0.286 0.327
0.916 0.089 0.630
0.084 0.911 0.370
0.041 0.630 0.714
0.584 0.714 0.673
0.584 0.870 0.411
0.630 0.041 0.214
0.214 0.541 0.630
0.173 0.089 0.959
0.630 0.589 0.916
0.673 0.214 0.584
0.125 0.250 0.875
0.875 0.125 0.250
0.625 0.250 0.375
0.250 0.625 0.875
0.125 0.875 0.750
0.750 0.375 0.125
0.625 0.375 0.750
0.875 0.750 0.125
0.250 0.125 0.375
0.375 0.625 0.250
0.750 0.875 0.625
0.375 0.750 0.625
0.875 0.625 0.750
0.500 0.000 0.000
0.125 0.375 0.250
0.625 0.750 0.875
0.875 0.250 0.625
0.625 0.875 0.250
0.750 0.625 0.375
0.500 0.000 0.500
0.750 0.125 0.875
0.500 0.500 0.000
0.000 0.000 0.500
0.000 0.500 0.500
0.000 0.500 0.000
0.500 0.500 0.500
0.375 0.125 0.750
0.375 0.250 0.125
0.250 0.375 0.625
0.250 0.875 0.125
0.125 0.750 0.375
0.000 0.000 0.000
```

Calculated values
**E_tot**: -270.26 eV/cell
**Mass density**: 3.9 Mg/m³